1.
{"formula": "BaRe2As", "functional": "PBE-GGA", "state": "optimized geometry", "lattice_angstrom": [[3.3009, 0.0000, 0.0000], [0.0000, 4.1593, 0.0000], [-0.1356, 0.0000, 6.6468]], "species": ["Ba", "Re", "Re", "As"], "fractional_positions": [[0.0000, 0.0000, 0.0000], [0.5114, 0.0000, 0.4587], [0.9738, 0.5000, 0.4253], [0.4861, 0.5000, 0.7096]], "total_energy_ev_per_atom": -7.57, "formation_energy_ev_per_atom": 0.29, "sg": "No. 6", "total_magnetization_mub_per_cell": 0.00}



2.
{"formula": "PmYGa2Cu2", "functional": "PBE-GGA", "state": "optimized geometry", "lattice_angstrom": [[4.3707, 0.0000, 0.0000], [-2.1854, 3.7852, 0.0000], [0.0000, 0.0000, 7.3307]], "species": ["Pm", "Y", "Ga", "Ga", "Cu", "Cu"], "fractional_positions": [[0.0000, 0.0000, 0.0000], [0.0000, 0.0000, 0.5000], [0.3333, 0.6667, 0.2618], [0.6667, 0.3333, 0.7382], [0.3333, 0.6667, 0.7325], [0.6667, 0.3333, 0.2675]], "total_energy_ev_per_atom": -4.73, "formation_energy_ev_per_atom": -0.49, "sg": "No. 164", "total_magnetization_mub_per_cell": 0.00}



3.
{"formula": "ZnInI2O", "functional": "PBE-GGA", "state": "optimized geometry", "lattice_angstrom": [[6.0468, 0.0000, 0.0000], [0.0000, 6.0468, 0.0000], [0.0000, 0.0000, 3.9691]], "species": ["Zn", "In", "I", "I", "O"], "fractional_positions": [[0.0000, 0.0000, 0.0000], [0.5000, 0.5000, 0.5000], [0.0000, 0.5000, 0.5000], [0.5000, 0.0000, 0.5000], [0.5000, 0.5000, 0.0000]], "total_energy_ev_per_atom": -2.64, "e_form_raw_ev_per_atom": -0.23, "sg": "No. 123", "total_magnetization_mub_per_cell": 0.00}